# 1
Na2ScBr: relaxed, GGA-PBE.

```
Na2ScBr
1.0
8.0209 0.0000 0.0000
0.0000 8.0209 0.0000
0.0000 0.0000 8.0209
Na Sc Br
8 4 4
direct
0.2500 0.2500 0.2500
0.2500 0.2500 0.7500
0.2500 0.7500 0.2500
0.2500 0.7500 0.7500
0.7500 0.2500 0.2500
0.7500 0.2500 0.7500
0.7500 0.7500 0.2500
0.7500 0.7500 0.7500
0.0000 0.0000 0.0000
0.0000 0.5000 0.5000
0.5000 0.0000 0.5000
0.5000 0.5000 0.0000
0.0000 0.0000 0.5000
0.0000 0.5000 0.0000
0.5000 0.0000 0.0000
0.5000 0.5000 0.5000
```

Results
The value obtained for the energy relative to the lowest polymorph listed for this composition is 28.5 kJ per mole of atoms. The energy relative to the elements, uncorrected comes out at 0.18 eV per atom. As for the space-group type: Fm-3m (225).



# 2
NaTlPb5: relaxed, GGA-PBE.

```
NaTlPb5
1.0
5.4657 0.0000 0.0000
0.0000 5.4657 0.0000
0.0000 0.0000 7.5976
Na Tl Pb
1 1 5
direct
0.0000 0.0000 0.0000
0.0000 0.0000 0.5000
0.0000 0.5000 0.2673
0.0000 0.5000 0.7327
0.5000 0.0000 0.2673
0.5000 0.0000 0.7327
0.5000 0.5000 0.0000
```

Results
For the calculated formation energy, the calculation gives 0.15 eV per formula unit. As for the space-group type: P4/mmm (123).



# 3
RbTlS2Cl: relaxed, GGA-PBE.

```
RbTlS2Cl
1.0
5.1567 0.0000 0.0000
0.0000 5.1567 0.0000
0.0000 0.0000 5.7646
Rb Tl S Cl
1 1 2 1
direct
0.0000 0.0000 0.0000
0.5000 0.5000 0.5000
0.0000 0.5000 0.5000
0.5000 0.0000 0.5000
0.5000 0.5000 0.0000
```

Results
The value obtained for the energy relative to the lowest polymorph listed for this composition is 0.0 kJ per mole of atoms. The energy relative to the elements, uncorrected comes out at -0.41 eV per atom. As for the space-group type: P4/mmm (123).



# 4
RbSbO2F: relaxed, GGA-PBE.

```
RbSbO2F
1.0
4.1686 0.0000 0.0000
0.0000 4.1686 0.0000
0.0000 0.0000 4.6526
Rb Sb O F
1 1 2 1
direct
0.0000 0.0000 0.0000
0.5000 0.5000 0.5000
0.0000 0.5000 0.5000
0.5000 0.0000 0.5000
0.5000 0.5000 0.0000
```

Results
The energy relative to the elements, uncorrected comes out at -1.71 eV per atom. As for the space-group type: P4/mmm (123).



# 5
FeGeSb2I: relaxed, GGA-PBE.

```
FeGeSb2I
1.0
4.8176 0.0000 0.0000
0.0000 4.8176 0.0000
0.0000 0.0000 5.6511
Fe Ge Sb I
1 1 2 1
direct
0.0000 0.0000 0.0000
0.5000 0.5000 0.5000
0.0000 0.5000 0.0000
0.5000 0.0000 0.0000
0.0000 0.0000 0.5000
```

Results
The value obtained for the energy relative to the lowest polymorph listed for this composition is 0.0 kJ per mole of atoms. The energy relative to the elements, uncorrected comes out at 0.57 eV per atom. As for the space-group type: P4/mmm (123).



# 6
TlCdH: relaxed, GGA-PBE.

```
TlCdH
1.0
3.4117 0.0000 0.0000
0.0054 5.9104 0.0000
0.6528 2.9464 6.2617
Tl Cd H
2 2 2
direct
0.2027 0.2286 0.0421
0.7973 0.7714 0.9579
0.4980 0.7612 0.5033
0.5020 0.2388 0.4967
0.2594 0.4122 0.6712
0.7406 0.5878 0.3288
```

Results
The value obtained for the energy relative to the lowest polymorph listed for this composition is 0.0 kJ per mole of atoms. As for the space-group type: P-1 (2).



Number 1: calculated density 2.20 Mg/m³, energy -39.7 eV for the cell shown, density of states at the Fermi level 35.03 states/eV per cell. Number 2: calculated density 9.24 Mg/m³, energy -22.1 eV for the cell shown, density of states at the Fermi level 1.99 states/eV per cell. Number 3: calculated density 4.22 Mg/m³, energy -15.5 eV for the cell shown, density of states at the Fermi level 4.91 states/eV per cell. Number 4: calculated density 5.30 Mg/m³, energy -25.4 eV for the cell shown, density of states at the Fermi level 0.63 states/eV per cell. Number 5: calculated density 6.32 Mg/m³, energy -20.0 eV for the cell shown, density of states at the Fermi level 4.07 states/eV per cell. Number 6: calculated density 8.36 Mg/m³, energy -11.9 eV for the cell shown, density of states at the Fermi level 0.98 states/eV per cell.